1.
{
  "formula": "AgAsAu2",
  "functional": "PBEsol",
  "state": "relaxed",
  "volume_a3_per_atom": 17.23,
  "spacegroup": "P4/mmm, No. 123",
  "magmom_total_mub_per_atom": 0.000,
  "energy_ev_per_atom": -3.9911,
  "lattice_angstrom": [[2.863, 0.000, 0.000], [0.000, 2.863, 0.000], [0.000, 0.000, 8.408]],
  "species": ["Ag", "As", "Au", "Au"],
  "fractional_positions": [[0.000, 0.000, 0.000], [0.000, 0.000, 0.500], [0.500, 0.500, 0.245], [0.500, 0.500, 0.755]]
}

=====

2.
{
  "formula": "AgAs2Au",
  "functional": "PBEsol",
  "state": "relaxed",
  "volume_a3_per_atom": 18.45,
  "spacegroup": "P2/m, No. 10",
  "magmom_total_mub_per_atom": 0.000,
  "energy_ev_per_atom": -4.1780,
  "lattice_angstrom": [[4.194, 0.000, 0.000], [0.000, 3.437, 0.000], [-1.659, 0.000, 5.121]],
  "species": ["Ag", "As", "As", "Au"],
  "fractional_positions": [[0.000, 0.000, 0.000], [0.000, 0.000, 0.500], [0.500, 0.500, 0.000], [0.500, 0.500, 0.500]]
}

=====

3.
{
  "formula": "AgAsAu2",
  "functional": "PBEsol",
  "state": "relaxed",
  "volume_a3_per_atom": 17.28,
  "spacegroup": "Cmm2, No. 35",
  "magmom_total_mub_per_atom": 0.000,
  "energy_ev_per_atom": -3.9737,
  "lattice_angstrom": [[2.009, -2.052, 0.000], [2.009, 2.052, 0.000], [0.000, 0.000, 8.380]],
  "species": ["Ag", "As", "Au", "Au"],
  "fractional_positions": [[0.000, 0.000, 0.000], [0.500, 0.500, 0.748], [0.000, 0.000, 0.494], [0.500, 0.500, 0.244]]
}

=====

4.
{
  "formula": "AgAs2Au",
  "functional": "PBEsol",
  "state": "relaxed",
  "volume_a3_per_atom": 18.02,
  "spacegroup": "Pmmm, No. 47",
  "magmom_total_mub_per_atom": 0.000,
  "energy_ev_per_atom": -4.2018,
  "lattice_angstrom": [[2.765, 0.000, 0.000], [0.000, 4.816, 0.000], [0.000, 0.000, 5.414]],
  "species": ["Ag", "As", "As", "Au"],
  "fractional_positions": [[0.000, 0.000, 0.000], [0.500, 0.500, 0.244], [0.500, 0.500, 0.756], [0.500, 0.000, 0.500]]
}

=====

5.
{
  "formula": "Ag2AsAu",
  "functional": "PBEsol",
  "state": "relaxed",
  "volume_a3_per_atom": 17.09,
  "spacegroup": "I4/mmm, No. 139",
  "magmom_total_mub_per_atom": 0.000,
  "energy_ev_per_atom": -3.8312,
  "lattice_angstrom": [[-2.005, 2.005, 4.251], [2.005, -2.005, 4.251], [2.005, 2.005, -4.251]],
  "species": ["Ag", "Ag", "As", "Au"],
  "fractional_positions": [[0.250, 0.750, 0.500], [0.750, 0.250, 0.500], [0.000, 0.000, 0.000], [0.500, 0.500, 0.000]]
}

=====

6.
{
  "formula": "AgAsAuBr2",
  "functional": "PBEsol",
  "state": "relaxed",
  "volume_a3_per_atom": 27.23,
  "spacegroup": "P4/mmm, No. 123",
  "raw_formation_energy_ev_per_atom": 0.575,
  "magmom_total_mub_per_atom": 0.246,
  "energy_ev_per_atom": -2.6415,
  "lattice_angstrom": [[5.241, 0.000, 0.000], [0.000, 5.241, 0.000], [0.000, 0.000, 4.957]],
  "species": ["Ag", "As", "Au", "Br", "Br"],
  "fractional_positions": [[0.000, 0.000, 0.000], [0.500, 0.500, 0.000], [0.500, 0.500, 0.500], [0.000, 0.500, 0.500], [0.500, 0.000, 0.500]]
}

=====

7.
{
  "formula": "AgAsAuSe2",
  "functional": "PBEsol",
  "state": "relaxed",
  "volume_a3_per_atom": 25.14,
  "spacegroup": "P4/mmm, No. 123",
  "raw_formation_energy_ev_per_atom": 0.803,
  "magmom_total_mub_per_atom": 0.000,
  "energy_ev_per_atom": -3.2057,
  "lattice_angstrom": [[5.126, 0.000, 0.000], [0.000, 5.126, 0.000], [0.000, 0.000, 4.784]],
  "species": ["Ag", "As", "Au", "Se", "Se"],
  "fractional_positions": [[0.000, 0.000, 0.000], [0.500, 0.500, 0.000], [0.500, 0.500, 0.500], [0.000, 0.500, 0.500], [0.500, 0.000, 0.500]]
}

=====

8.
{
  "formula": "Ag2BAs",
  "functional": "PBEsol",
  "state": "relaxed",
  "volume_a3_per_atom": 16.00,
  "spacegroup": "I-42d, No. 122",
  "magmom_total_mub_per_atom": 0.000,
  "energy_ev_per_atom": -3.8743,
  "lattice_angstrom": [[-1.997, 1.997, 8.026], [1.997, -1.997, 8.026], [1.997, 1.997, -8.026]],
  "species": ["Ag", "Ag", "Ag", "Ag", "B", "B", "As", "As"],
  "fractional_positions": [[0.095, 0.625, 0.970], [0.375, 0.345, 0.470], [0.655, 0.125, 0.030], [0.875, 0.905, 0.530], [0.000, 0.000, 0.000], [0.750, 0.250, 0.500], [0.250, 0.750, 0.500], [0.500, 0.500, 0.000]]
}